Computed, not measured: a relaxed Nd2TmSe4 crystal at the GGA-PBE level of DFT.

Cell and atoms, written as CIF:
```
data_Nd2TmSe4
_chemical_formula_sum 'Nd4 Tm2 Se8'
_symmetry_space_group_name_H-M 'P 1'
_symmetry_Int_Tables_number 1
_symmetry_space_group_name_Hall 'P 1'
_cell_length_a 7.5421
_cell_length_b 11.8553
_cell_length_c 4.2757
_cell_angle_alpha 90.00
_cell_angle_beta 90.00
_cell_angle_gamma 90.00
loop_
_atom_site_label
_atom_site_type_symbol
_atom_site_fract_x
_atom_site_fract_y
_atom_site_fract_z
Nd1 Nd 0.1049 0.1871 0.0000
Nd2 Nd 0.3951 0.6871 0.0000
Nd3 Nd 0.6049 0.3129 0.0000
Nd4 Nd 0.8951 0.8129 0.0000
Tm1 Tm 0.0000 0.5000 0.5000
Tm2 Tm 0.5000 0.0000 0.5000
Se1 Se 0.1252 0.7195 0.5000
Se2 Se 0.2424 0.4499 0.0000
Se3 Se 0.2576 0.9499 0.0000
Se4 Se 0.3748 0.2195 0.5000
Se5 Se 0.6252 0.7805 0.5000
Se6 Se 0.7424 0.0501 0.0000
Se7 Se 0.7576 0.5501 0.0000
Se8 Se 0.8748 0.2805 0.5000
```

Summary:
- relative energy among the computed polymorphs (eV/f.u.) = 0.00
- total DFT energy (no corrections) (Ry/atom) = -0.4297
- raw formation energy (eV per atom) = -1.85
- crystal system = orthorhombic